1.
CsK2GeMo, optimized geometry, DFT PBEsol; symmetry = No. 123; E = -2.213 eV/atom
1.0
-5.228 0.985 -2.130
1.018 -4.554 -4.605
-2.485 -4.580 3.980
Cs Mo K Ge
1 1 2 1
Direct
0.000 0.000 0.000
0.500 0.500 0.500
0.000 0.000 0.500
0.000 0.500 0.000
0.500 0.000 0.000

=====

2.
ZnHg3Br, optimized geometry, DFT PBEsol; uncorrected formation energy = -18 kJ/mol of formula units; symmetry = No. 221; E = -1.067 eV/atom
1.0
5.128 0.000 0.000
0.000 5.128 0.000
0.000 0.000 5.128
Zn Hg Br
1 3 1
Direct
0.000 0.000 0.000
0.000 0.500 0.000
0.000 0.000 0.500
0.500 0.000 0.000
0.500 0.500 0.500

=====

3.
Y2Zn2Ga, optimized geometry, DFT PBEsol; symmetry = No. 139; E = -4.262 eV/atom
1.0
3.486 0.000 0.000
0.000 3.486 0.000
-1.743 -1.743 8.934
Y Zn Ga
2 2 1
Direct
0.398 0.398 0.796
0.602 0.602 0.204
0.250 0.750 0.500
0.750 0.250 0.500
0.000 0.000 0.000

=====

4.
SrNi4O8, optimized geometry, DFT PBEsol; uncorrected formation energy = -1442 kJ/mol of formula units; symmetry = No. 166; E = -6.416 eV/atom
1.0
-5.620 -0.541 -0.225
-2.453 -4.767 1.786
-3.121 0.462 5.885
Sr Ni O
1 4 8
Direct
0.500 0.500 0.500
0.500 0.000 0.000
0.000 0.500 0.000
0.500 0.500 0.000
0.000 0.000 0.000
0.279 0.279 0.164
0.721 0.721 0.836
0.774 0.286 0.166
0.714 0.226 0.834
0.226 0.714 0.834
0.226 0.226 0.834
0.286 0.774 0.166
0.774 0.774 0.166